Material: Bi3PbWClO8
Method: DFT, PBE with a Hubbard U
State: relaxed

Cell lengths 3.8943, 3.8943, 14.9597 Å; angles 90.00, 90.00, 90.00 degrees
Last column: nearest neighbours and their distance in Å.
Sites, in units of the cell vectors:
Bi (0.5000, 0.5000, 0.1914)  4 O 2.39
Bi (0.0000, 0.0000, 0.3614)  4 O 2.27
Bi (0.0000, 0.0000, 0.6351)  4 O 2.22
Pb (0.5000, 0.5000, 0.8078)  4 O 2.47
W (0.0000, 0.0000, 0.0074)  6 O 1.85-2.01
Cl (0.5000, 0.5000, 0.4792)  8 Bi 3.27-3.61, 4 O 3.51
O (0.0000, 0.0000, 0.1417)  1 W 2.01
O (0.5000, 0.0000, 0.0143)  2 W 1.95
O (0.0000, 0.5000, 0.0143)  2 W 1.95
O (0.0000, 0.0000, 0.8835)  1 W 1.85
O (0.5000, 0.0000, 0.7066)  2 Bi 2.22, 2 Pb 2.47
O (0.0000, 0.5000, 0.7066)  2 Bi 2.22, 2 Pb 2.47
O (0.5000, 0.0000, 0.2838)  4 Bi 2.27-2.39
O (0.0000, 0.5000, 0.2838)  4 Bi 2.27-2.39

Calculated values
The calculation puts the raw total energy at -6.039 eV/atom.